Entry 1:
# Sm3Mn5N12

Crystalline Sm3Mn5N12 at its relaxed geometry (PBE, the Alexandria database).

Cell and atoms, written as POSCAR:
```
Sm3Mn5N12
1.0
-6.168 6.168 6.168
6.168 -6.168 6.168
6.168 6.168 -6.168
Sm Mn N
12 20 48
Cartesian
3.084 1.542 0.000 Sm
6.168 3.084 -1.542 Sm
1.542 0.000 3.084 Sm
7.711 0.000 3.084 Sm
0.000 3.084 1.542 Sm
3.084 -1.542 6.168 Sm
3.084 7.711 0.000 Sm
6.168 3.084 4.626 Sm
-1.542 6.168 3.084 Sm
4.626 6.168 3.084 Sm
0.000 3.084 7.711 Sm
3.084 4.626 6.168 Sm
0.000 0.000 0.000 Mn
3.084 3.084 -3.084 Mn
3.084 -3.084 3.084 Mn
6.168 0.000 0.000 Mn
9.253 1.542 0.000 Mn
6.168 -3.084 4.626 Mn
4.626 6.168 -3.084 Mn
4.626 0.000 3.084 Mn
3.084 4.626 0.000 Mn
6.168 3.084 1.542 Mn
-3.084 3.084 3.084 Mn
0.000 6.168 0.000 Mn
0.000 0.000 6.168 Mn
3.084 3.084 3.084 Mn
0.000 3.084 4.626 Mn
3.084 1.542 6.168 Mn
1.542 6.168 3.084 Mn
1.542 0.000 9.253 Mn
0.000 9.253 1.542 Mn
-3.084 4.626 6.168 Mn
1.844 -0.470 0.547 N
7.409 3.631 -3.554 N
8.012 0.470 0.547 N
7.409 -2.537 3.554 N
5.698 -0.547 1.844 N
9.723 -1.240 2.537 N
0.547 1.844 -0.470 N
8.705 2.614 -1.240 N
3.631 3.554 -1.240 N
5.621 1.844 0.470 N
-0.470 0.547 1.844 N
3.554 -1.240 3.631 N
5.698 5.621 -1.844 N
3.554 1.240 2.537 N
3.631 -3.554 7.409 N
5.621 -1.844 5.698 N
2.537 3.554 1.240 N
6.716 4.324 0.470 N
3.554 7.409 -2.537 N
5.698 0.547 4.324 N
1.844 5.698 -0.547 N
7.409 2.537 2.614 N
1.240 2.537 3.554 N
1.844 0.470 5.621 N
4.324 5.698 0.547 N
4.928 3.631 2.614 N
-1.240 3.631 3.554 N
4.324 0.470 6.716 N
0.470 5.621 1.844 N
2.614 -1.240 8.705 N
-0.547 1.844 5.698 N
3.631 2.614 4.928 N
0.547 8.012 0.470 N
2.537 9.723 -1.240 N
2.614 4.928 3.631 N
0.470 0.547 8.012 N
2.614 7.409 2.537 N
6.638 5.621 4.324 N
0.547 4.324 5.698 N
2.537 2.614 7.409 N
-2.537 3.554 7.409 N
5.621 4.324 6.638 N
-3.554 7.409 3.631 N
0.470 6.716 4.324 N
-1.240 8.705 2.614 N
-1.844 5.698 5.621 N
-1.240 2.537 9.723 N
4.324 6.638 5.621 N
```

Output
As for the total energy: -8.452 eV/atom. Its calculated volume is 939 Å³ per cell. For the uncorrected formation energy, the calculation gives -0.46 eV per atom.

Entry 2:
# Sm2TaMnN5

Crystalline Sm2TaMnN5 at its relaxed geometry (PBE, the Alexandria database).

Cell and atoms, written as POSCAR:
```
Sm2TaMnN5
1.0
1.629 -7.036 0.000
1.629 7.036 0.000
0.000 0.000 10.030
Sm Ta Mn N
4 2 2 10
Cartesian
1.629 5.377 5.015 Sm
1.629 5.225 1.330 Sm
1.629 -5.225 6.344 Sm
1.629 -5.377 0.000 Sm
1.629 4.136 8.344 Ta
1.629 -4.136 3.329 Ta
1.629 0.669 2.547 Mn
1.629 -0.669 7.562 Mn
1.629 6.537 8.304 N
1.629 2.825 4.690 N
1.629 2.506 1.894 N
1.629 2.216 8.177 N
1.629 -0.004 0.927 N
1.629 0.004 5.942 N
1.629 -2.216 3.162 N
1.629 -2.506 6.909 N
1.629 -2.825 9.705 N
1.629 -6.537 3.290 N
```

Output
As for the total energy: -9.059 eV/atom. Its calculated volume is 230 Å³ per cell. For the uncorrected formation energy, the calculation gives -1.05 eV per atom.

Entry 3:
# Tb2SmMnN4

Crystalline Tb2SmMnN4 at its relaxed geometry (PBE, the Alexandria database).

Cell and atoms, written as POSCAR:
```
Tb2SmMnN4
1.0
1.700 -5.741 0.000
1.700 5.741 0.000
0.000 0.000 11.568
Tb Sm Mn N
4 2 2 8
Cartesian
1.700 4.225 6.290 Tb
1.700 4.225 11.063 Tb
1.700 -4.225 0.506 Tb
1.700 -4.225 5.279 Tb
1.700 1.286 8.676 Sm
1.700 -1.286 2.892 Sm
1.700 1.799 2.892 Mn
1.700 -1.799 8.676 Mn
1.700 4.823 8.676 N
1.700 3.068 1.535 N
1.700 3.068 4.249 N
1.700 0.000 0.000 N
1.700 0.000 5.784 N
1.700 -3.068 7.319 N
1.700 -3.068 10.033 N
1.700 -4.823 2.892 N
```

Output
As for the total energy: -8.213 eV/atom. Its calculated volume is 226 Å³ per cell. For the uncorrected formation energy, the calculation gives -1.16 eV per atom.

Entry 4:
# SmThMnN4

Crystalline SmThMnN4 at its relaxed geometry (PBE, the Alexandria database).

Cell and atoms, written as POSCAR:
```
SmThMnN4
1.0
3.704 0.000 0.000
0.000 3.704 0.000
0.000 0.000 12.720
Sm Th Mn N
2 2 2 8
Cartesian
0.000 0.000 0.000 Sm
1.852 1.852 6.360 Sm
0.000 0.000 3.681 Th
1.852 1.852 10.041 Th
0.000 0.000 8.179 Mn
1.852 1.852 1.819 Mn
0.000 0.000 5.995 N
0.000 0.000 10.342 N
0.000 1.852 1.851 N
0.000 1.852 8.211 N
1.852 0.000 1.851 N
1.852 0.000 8.211 N
1.852 1.852 3.982 N
1.852 1.852 12.355 N
```

Output
As for the total energy: -8.814 eV/atom. Its calculated volume is 174 Å³ per cell. For the uncorrected formation energy, the calculation gives -1.01 eV per atom.

Entry 5:
# SmThMnN3

Crystalline SmThMnN3 at its relaxed geometry (PBE, the Alexandria database).

Cell and atoms, written as POSCAR:
```
SmThMnN3
1.0
7.199 0.000 0.000
0.000 3.566 0.000
-0.509 0.000 7.585
Sm Th Mn N
2 2 2 6
Cartesian
0.943 0.891 1.243 Sm
5.747 2.674 6.342 Sm
2.217 2.674 6.206 Th
4.473 0.891 1.379 Th
0.197 0.891 4.489 Mn
6.493 2.674 3.096 Mn
0.451 0.891 6.458 N
0.781 2.674 4.174 N
2.766 2.674 1.005 N
3.924 0.891 6.580 N
5.909 0.891 3.411 N
6.239 2.674 1.127 N
```

Output
As for the total energy: -8.813 eV/atom. Its calculated volume is 195 Å³ per cell. For the uncorrected formation energy, the calculation gives -1.10 eV per atom.

Entry 6:
# SmTh2MnN4

Crystalline SmTh2MnN4 at its relaxed geometry (PBE, the Alexandria database).

Cell and atoms, written as POSCAR:
```
SmTh2MnN4
1.0
1.792 -5.899 0.000
1.792 5.899 0.000
0.000 0.000 12.074
Sm Th Mn N
2 4 2 8
Cartesian
1.792 4.723 9.055 Sm
1.792 -4.723 3.018 Sm
1.792 1.546 6.711 Th
1.792 1.546 11.400 Th
1.792 -1.546 0.674 Th
1.792 -1.546 5.363 Th
1.792 3.919 3.018 Mn
1.792 -3.919 9.055 Mn
0.000 0.000 0.000 N
0.000 0.000 6.037 N
1.792 2.706 1.473 N
1.792 2.706 4.564 N
1.792 0.619 9.055 N
1.792 -0.619 3.018 N
1.792 -2.706 7.510 N
1.792 -2.706 10.601 N
```

Output
As for the total energy: -8.904 eV/atom. Its calculated volume is 255 Å³ per cell. For the uncorrected formation energy, the calculation gives -1.15 eV per atom.

Entry 7:
# Sm2ThMnN4

Crystalline Sm2ThMnN4 at its relaxed geometry (PBE, the Alexandria database).

Cell and atoms, written as POSCAR:
```
Sm2ThMnN4
1.0
1.737 -5.816 0.000
1.737 5.816 0.000
0.000 0.000 11.991
Sm Th Mn N
4 2 2 8
Cartesian
1.737 4.296 6.579 Sm
1.737 4.296 11.408 Sm
1.737 -4.296 0.584 Sm
1.737 -4.296 5.412 Sm
1.737 1.212 8.994 Th
1.737 -1.212 2.998 Th
1.737 1.888 2.998 Mn
1.737 -1.888 8.994 Mn
1.737 5.145 8.994 N
1.737 3.223 1.602 N
1.737 3.223 4.394 N
1.737 0.000 0.000 N
1.737 0.000 5.996 N
1.737 -3.223 7.598 N
1.737 -3.223 10.390 N
1.737 -5.145 2.998 N
```

Output
As for the total energy: -8.551 eV/atom. Its calculated volume is 242 Å³ per cell. For the uncorrected formation energy, the calculation gives -1.13 eV per atom.

Entry 8:
# SmMn2VN4

Crystalline SmMn2VN4 at its relaxed geometry (PBE, the Alexandria database).

Cell and atoms, written as POSCAR:
```
SmMn2VN4
1.0
1.592 -6.076 0.000
1.592 6.076 0.000
0.000 0.000 9.182
Sm Mn V N
2 4 2 8
Cartesian
1.592 5.230 6.886 Sm
1.592 -5.230 2.295 Sm
1.592 1.138 4.938 Mn
1.592 1.138 8.835 Mn
1.592 -1.138 0.347 Mn
1.592 -1.138 4.244 Mn
1.592 3.578 2.295 V
1.592 -3.578 6.886 V
0.000 0.000 0.000 N
0.000 0.000 4.591 N
1.592 2.299 0.974 N
1.592 2.299 3.616 N
1.592 1.291 6.886 N
1.592 -1.291 2.295 N
1.592 -2.299 5.565 N
1.592 -2.299 8.207 N
```

Output
As for the total energy: -8.764 eV/atom. Its calculated volume is 178 Å³ per cell. For the uncorrected formation energy, the calculation gives -0.58 eV per atom.

The highest calculated volume belongs to which entry? Sm3Mn5N12

calculated volume of number 4 (SmThMnN4)? 174 Å³ per cell

What did the third record say?
# Tb2SmMnN4

Crystalline Tb2SmMnN4 at its relaxed geometry (PBE, the Alexandria database).

Cell and atoms, written as POSCAR:
```
Tb2SmMnN4
1.0
1.700 -5.741 0.000
1.700 5.741 0.000
0.000 0.000 11.568
Tb Sm Mn N
4 2 2 8
Cartesian
1.700 4.225 6.290 Tb
1.700 4.225 11.063 Tb
1.700 -4.225 0.506 Tb
1.700 -4.225 5.279 Tb
1.700 1.286 8.676 Sm
1.700 -1.286 2.892 Sm
1.700 1.799 2.892 Mn
1.700 -1.799 8.676 Mn
1.700 4.823 8.676 N
1.700 3.068 1.535 N
1.700 3.068 4.249 N
1.700 0.000 0.000 N
1.700 0.000 5.784 N
1.700 -3.068 7.319 N
1.700 -3.068 10.033 N
1.700 -4.823 2.892 N
```

Output
As for the total energy: -8.213 eV/atom. Its calculated volume is 226 Å³ per cell. For the uncorrected formation energy, the calculation gives -1.16 eV per atom.